[1]
# PBE-GGA PaTiFe2H6, relaxed
data_PaTiFe2H6
_cell_length_a 4.2766
_cell_length_b 4.2766
_cell_length_c 15.1614
_cell_angle_alpha 90.00
_cell_angle_beta 90.00
_cell_angle_gamma 120.00
_symmetry_space_group_name_H-M 'R -3 m'
_symmetry_Int_Tables_number 166
_symmetry_space_group_name_Hall '-R 3 2"'
loop_
_atom_site_label
_atom_site_type_symbol
_atom_site_fract_x
_atom_site_fract_y
_atom_site_fract_z
_atom_site_occupancy
Pa1 Pa 0.0000 0.0000 0.0000 1
Ti1 Ti 0.0000 0.0000 0.5000 1
Fe1 Fe 0.0000 0.0000 0.2087 1
H1 H 0.0194 0.5097 0.0634 1
# E_tot, eV for the cell shown: -173.5
# Density of states at the Fermi level, states/eV/cell: 14.3
# Spin magnetization, μB per formula unit: 0.660

[2]
# PBE-GGA FeHPb3, relaxed
data_FeHPb3
_cell_length_a 4.7598
_cell_length_b 4.7598
_cell_length_c 4.7598
_cell_angle_alpha 90.00
_cell_angle_beta 90.00
_cell_angle_gamma 90.00
_symmetry_space_group_name_H-M 'P m -3 m'
_symmetry_Int_Tables_number 221
_symmetry_space_group_name_Hall '-P 4 2 3'
loop_
_atom_site_label
_atom_site_type_symbol
_atom_site_fract_x
_atom_site_fract_y
_atom_site_fract_z
_atom_site_occupancy
Fe1 Fe 0.0000 0.0000 0.0000 1
H1 H 0.5000 0.5000 0.5000 1
Pb1 Pb 0.0000 0.5000 0.5000 1
# E_tot, eV for the cell shown: -18.7
# Density of states at the Fermi level, states/eV/cell: 7.1
# Spin magnetization, μB per formula unit: 0.034
# E above lowest polymorph, eV per atom: 0.282

[3]
# PBE-GGA Fe2HPb, relaxed
data_Fe2HPb
_cell_length_a 5.1456
_cell_length_b 5.1456
_cell_length_c 8.2798
_cell_angle_alpha 90.00
_cell_angle_beta 90.00
_cell_angle_gamma 90.00
_symmetry_space_group_name_H-M 'I 41/a m d'
_symmetry_Int_Tables_number 141
loop_
_symmetry_equiv_pos_as_xyz
'x,y,z'
'-x,-y,-z'
'-y+1/4,x+3/4,z+1/4'
'y+1/4,-x+3/4,-z+1/4'
'-x+1/2,-y,z+1/2'
'x+1/2,y,-z+1/2'
'y+1/4,-x+1/4,z+3/4'
'-y+1/4,x+1/4,-z+3/4'
'x,-y,-z'
'-x,y,z'
'-y+1/4,-x+1/4,-z+3/4'
'y+1/4,x+1/4,z+3/4'
'-x+1/2,y,-z+1/2'
'x+1/2,-y,z+1/2'
'y+1/4,x+3/4,-z+1/4'
'-y+1/4,-x+3/4,z+1/4'
'x+1/2,y+1/2,z+1/2'
'-x+1/2,-y+1/2,-z+1/2'
'-y+3/4,x+1/4,z+3/4'
'y+3/4,-x+1/4,-z+3/4'
'-x,-y+1/2,z'
'x,y+1/2,-z'
'y+3/4,-x+3/4,z+1/4'
'-y+3/4,x+3/4,-z+1/4'
'x+1/2,-y+1/2,-z+1/2'
'-x+1/2,y+1/2,z+1/2'
'-y+3/4,-x+3/4,-z+1/4'
'y+3/4,x+3/4,z+1/4'
'-x,y+1/2,-z'
'x,-y+1/2,z'
'y+3/4,x+1/4,-z+3/4'
'-y+3/4,-x+1/4,z+3/4'
loop_
_atom_site_label
_atom_site_type_symbol
_atom_site_fract_x
_atom_site_fract_y
_atom_site_fract_z
_atom_site_occupancy
Fe1 Fe 0.0000 0.0000 0.0000 1
H1 H 0.0000 0.2500 0.8750 1
Pb1 Pb 0.0000 0.2500 0.3750 1
# E_tot, eV for the cell shown: -91.1
# Density of states at the Fermi level, states/eV/cell: 10.7
# Spin magnetization, μB per formula unit: 5.031
# E above lowest polymorph, eV per atom: 0.000

[4]
# PBE-GGA FeH2Pb, relaxed
data_FeH2Pb
_cell_length_a 4.7407
_cell_length_b 4.7407
_cell_length_c 9.0354
_cell_angle_alpha 90.00
_cell_angle_beta 90.00
_cell_angle_gamma 90.00
_symmetry_space_group_name_H-M 'I -4 2 d'
_symmetry_Int_Tables_number 122
_symmetry_space_group_name_Hall 'I -4 2bw'
loop_
_atom_site_label
_atom_site_type_symbol
_atom_site_fract_x
_atom_site_fract_y
_atom_site_fract_z
_atom_site_occupancy
Fe1 Fe 0.0000 0.0000 0.0000 1
H1 H 0.0012 0.2500 0.1250 1
Pb1 Pb 0.0000 0.0000 0.5000 1
# E_tot, eV for the cell shown: -69.6
# Density of states at the Fermi level, states/eV/cell: 10.6
# Spin magnetization, μB per formula unit: 2.220
# E above lowest polymorph, eV per atom: 0.000

[5]
# PBE-GGA Fe3HPb, relaxed
data_Fe3HPb
_cell_length_a 5.0852
_cell_length_b 5.0852
_cell_length_c 5.0852
_cell_angle_alpha 90.00
_cell_angle_beta 90.00
_cell_angle_gamma 90.00
_symmetry_space_group_name_H-M 'P m -3 m'
_symmetry_Int_Tables_number 221
_symmetry_space_group_name_Hall '-P 4 2 3'
loop_
_atom_site_label
_atom_site_type_symbol
_atom_site_fract_x
_atom_site_fract_y
_atom_site_fract_z
_atom_site_occupancy
Fe1 Fe 0.0000 0.0000 0.5000 1
H1 H 0.5000 0.5000 0.5000 1
Pb1 Pb 0.0000 0.0000 0.0000 1
# E_tot, eV for the cell shown: -22.0
# Density of states at the Fermi level, states/eV/cell: 19.9
# Spin magnetization, μB per formula unit: 10.751
# E above lowest polymorph, eV per atom: 1.780

[6]
# PBE-GGA FeH2Pb, relaxed
data_FeH2Pb
_cell_length_a 5.6014
_cell_length_b 5.6014
_cell_length_c 5.6014
_cell_angle_alpha 90.00
_cell_angle_beta 90.00
_cell_angle_gamma 90.00
_symmetry_space_group_name_H-M 'F m -3 m'
_symmetry_Int_Tables_number 225
_symmetry_space_group_name_Hall '-F 4 2 3'
loop_
_atom_site_label
_atom_site_type_symbol
_atom_site_fract_x
_atom_site_fract_y
_atom_site_fract_z
_atom_site_occupancy
Fe1 Fe 0.0000 0.0000 0.0000 1
H1 H 0.2500 0.2500 0.2500 1
Pb1 Pb 0.0000 0.0000 0.5000 1
# E_tot, eV for the cell shown: -56.7
# Density of states at the Fermi level, states/eV/cell: 14.5
# Spin magnetization, μB per formula unit: 0.000
# E above lowest polymorph, eV per atom: 0.802

[7]
# PBE-GGA Fe3HPb, relaxed
data_Fe3HPb
_cell_length_a 3.9156
_cell_length_b 3.9156
_cell_length_c 3.9156
_cell_angle_alpha 90.00
_cell_angle_beta 90.00
_cell_angle_gamma 90.00
_symmetry_space_group_name_H-M 'P m -3 m'
_symmetry_Int_Tables_number 221
_symmetry_space_group_name_Hall '-P 4 2 3'
loop_
_atom_site_label
_atom_site_type_symbol
_atom_site_fract_x
_atom_site_fract_y
_atom_site_fract_z
_atom_site_occupancy
Fe1 Fe 0.0000 0.0000 0.5000 1
H1 H 0.0000 0.0000 0.0000 1
Pb1 Pb 0.5000 0.5000 0.5000 1
# E_tot, eV for the cell shown: -30.9
# Density of states at the Fermi level, states/eV/cell: 4.8
# Spin magnetization, μB per formula unit: 6.919
# E above lowest polymorph, eV per atom: 0.000

[8]
# PBE-GGA Fe2H2Pb, relaxed
data_Fe2H2Pb
_cell_length_a 3.2867
_cell_length_b 3.2867
_cell_length_c 10.9092
_cell_angle_alpha 90.00
_cell_angle_beta 90.00
_cell_angle_gamma 90.00
_symmetry_space_group_name_H-M 'I 4/m m m'
_symmetry_Int_Tables_number 139
_symmetry_space_group_name_Hall '-I 4 2'
loop_
_atom_site_label
_atom_site_type_symbol
_atom_site_fract_x
_atom_site_fract_y
_atom_site_fract_z
_atom_site_occupancy
Fe1 Fe 0.0000 0.0000 0.1929 1
H1 H 0.0000 0.5000 0.2500 1
Pb1 Pb 0.0000 0.0000 0.5000 1
# E_tot, eV for the cell shown: -52.1
# Density of states at the Fermi level, states/eV/cell: 9.7
# Spin magnetization, μB per formula unit: 4.830

[9]
# PBE-GGA FeHPb3, relaxed
data_FeHPb3
_cell_length_a 5.0721
_cell_length_b 5.0721
_cell_length_c 5.0721
_cell_angle_alpha 90.00
_cell_angle_beta 90.00
_cell_angle_gamma 90.00
_symmetry_space_group_name_H-M 'P m -3 m'
_symmetry_Int_Tables_number 221
_symmetry_space_group_name_Hall '-P 4 2 3'
loop_
_atom_site_label
_atom_site_type_symbol
_atom_site_fract_x
_atom_site_fract_y
_atom_site_fract_z
_atom_site_occupancy
Fe1 Fe 0.0000 0.0000 0.0000 1
H1 H 0.5000 0.5000 0.5000 1
Pb1 Pb 0.0000 0.0000 0.5000 1
# E_tot, eV for the cell shown: -20.1
# Density of states at the Fermi level, states/eV/cell: 3.3
# Spin magnetization, μB per formula unit: 1.000
# E above lowest polymorph, eV per atom: 0.000

[10]
# PBE-GGA Fe2HPb, relaxed
data_Fe2HPb
_cell_length_a 6.1506
_cell_length_b 6.1506
_cell_length_c 6.1506
_cell_angle_alpha 90.00
_cell_angle_beta 90.00
_cell_angle_gamma 90.00
_symmetry_space_group_name_H-M 'F m -3 m'
_symmetry_Int_Tables_number 225
_symmetry_space_group_name_Hall '-F 4 2 3'
loop_
_atom_site_label
_atom_site_type_symbol
_atom_site_fract_x
_atom_site_fract_y
_atom_site_fract_z
_atom_site_occupancy
Fe1 Fe 0.2500 0.2500 0.2500 1
H1 H 0.0000 0.0000 0.0000 1
Pb1 Pb 0.0000 0.0000 0.5000 1
# E_tot, eV for the cell shown: -79.4
# Density of states at the Fermi level, states/eV/cell: 15.5
# Spin magnetization, μB per formula unit: 5.102
# E above lowest polymorph, eV per atom: 0.730

[11]
# PBE-GGA FeHPb2, relaxed
data_FeHPb2
_cell_length_a 5.2303
_cell_length_b 5.2303
_cell_length_c 12.6981
_cell_angle_alpha 90.00
_cell_angle_beta 90.00
_cell_angle_gamma 90.00
_symmetry_space_group_name_H-M 'I -4 2 d'
_symmetry_Int_Tables_number 122
_symmetry_space_group_name_Hall 'I -4 2bw'
loop_
_atom_site_label
_atom_site_type_symbol
_atom_site_fract_x
_atom_site_fract_y
_atom_site_fract_z
_atom_site_occupancy
Fe1 Fe 0.0000 0.0000 0.0000 1
H1 H 0.0000 0.0000 0.5000 1
Pb1 Pb 0.2112 0.2500 0.6250 1
# E_tot, eV for the cell shown: -61.7
# Density of states at the Fermi level, states/eV/cell: 21.0
# Spin magnetization, μB per formula unit: 0.000
# E above lowest polymorph, eV per atom: 0.212

[12]
# PBE-GGA FeHPb2, relaxed
data_FeHPb2
_cell_length_a 6.7596
_cell_length_b 6.7596
_cell_length_c 6.7596
_cell_angle_alpha 90.00
_cell_angle_beta 90.00
_cell_angle_gamma 90.00
_symmetry_space_group_name_H-M 'F m -3 m'
_symmetry_Int_Tables_number 225
_symmetry_space_group_name_Hall '-F 4 2 3'
loop_
_atom_site_label
_atom_site_type_symbol
_atom_site_fract_x
_atom_site_fract_y
_atom_site_fract_z
_atom_site_occupancy
Fe1 Fe 0.0000 0.0000 0.0000 1
H1 H 0.0000 0.0000 0.5000 1
Pb1 Pb 0.2500 0.2500 0.2500 1
# E_tot, eV for the cell shown: -65.1
# Density of states at the Fermi level, states/eV/cell: 16.1
# Spin magnetization, μB per formula unit: 2.762
# E above lowest polymorph, eV per atom: 0.000

[13]
# PBE-GGA Fe2HPtPb, relaxed
data_Fe2HPtPb
_cell_length_a 3.8496
_cell_length_b 3.8496
_cell_length_c 4.6782
_cell_angle_alpha 90.00
_cell_angle_beta 90.00
_cell_angle_gamma 90.00
_symmetry_space_group_name_H-M 'P 4/m m m'
_symmetry_Int_Tables_number 123
_symmetry_space_group_name_Hall '-P 4 2'
loop_
_atom_site_label
_atom_site_type_symbol
_atom_site_fract_x
_atom_site_fract_y
_atom_site_fract_z
_atom_site_occupancy
Fe1 Fe 0.0000 0.5000 0.0000 1
H1 H 0.0000 0.0000 0.0000 1
Pt1 Pt 0.5000 0.5000 0.5000 1
Pb1 Pb 0.0000 0.0000 0.5000 1
# E_tot, eV for the cell shown: -28.5
# Density of states at the Fermi level, states/eV/cell: 2.6
# Spin magnetization, μB per formula unit: 5.560

[14]
# PBE-GGA Sc2FeHPb, relaxed
data_Sc2FeHPb
_cell_length_a 4.6356
_cell_length_b 4.6356
_cell_length_c 3.7569
_cell_angle_alpha 90.00
_cell_angle_beta 90.00
_cell_angle_gamma 90.00
_symmetry_space_group_name_H-M 'P 4/m m m'
_symmetry_Int_Tables_number 123
_symmetry_space_group_name_Hall '-P 4 2'
loop_
_atom_site_label
_atom_site_type_symbol
_atom_site_fract_x
_atom_site_fract_y
_atom_site_fract_z
_atom_site_occupancy
Sc1 Sc 0.0000 0.5000 0.0000 1
Fe1 Fe 0.0000 0.0000 0.5000 1
H1 H 0.0000 0.0000 0.0000 1
Pb1 Pb 0.5000 0.5000 0.5000 1
# E_tot, eV for the cell shown: -29.5
# Density of states at the Fermi level, states/eV/cell: 1.9
# Spin magnetization, μB per formula unit: 1.272

[15]
# PBE-GGA SrFe2HPb, relaxed
data_SrFe2HPb
_cell_length_a 4.4038
_cell_length_b 4.4038
_cell_length_c 4.6677
_cell_angle_alpha 90.00
_cell_angle_beta 90.00
_cell_angle_gamma 90.00
_symmetry_space_group_name_H-M 'P 4/m m m'
_symmetry_Int_Tables_number 123
_symmetry_space_group_name_Hall '-P 4 2'
loop_
_atom_site_label
_atom_site_type_symbol
_atom_site_fract_x
_atom_site_fract_y
_atom_site_fract_z
_atom_site_occupancy
Sr1 Sr 0.0000 0.0000 0.0000 1
Fe1 Fe 0.0000 0.5000 0.5000 1
H1 H 0.0000 0.0000 0.5000 1
Pb1 Pb 0.5000 0.5000 0.0000 1
# E_tot, eV for the cell shown: -23.1
# Density of states at the Fermi level, states/eV/cell: 5.6
# Spin magnetization, μB per formula unit: 5.666

[16]
# PBE-GGA Fe2TcHPb, relaxed
data_Fe2TcHPb
_cell_length_a 4.0187
_cell_length_b 4.0187
_cell_length_c 3.9485
_cell_angle_alpha 90.00
_cell_angle_beta 90.00
_cell_angle_gamma 90.00
_symmetry_space_group_name_H-M 'P 4/m m m'
_symmetry_Int_Tables_number 123
_symmetry_space_group_name_Hall '-P 4 2'
loop_
_atom_site_label
_atom_site_type_symbol
_atom_site_fract_x
_atom_site_fract_y
_atom_site_fract_z
_atom_site_occupancy
Fe1 Fe 0.0000 0.5000 0.0000 1
Tc1 Tc 0.0000 0.0000 0.5000 1
H1 H 0.0000 0.0000 0.0000 1
Pb1 Pb 0.5000 0.5000 0.5000 1
# E_tot, eV for the cell shown: -32.6
# Density of states at the Fermi level, states/eV/cell: 3.7
# Spin magnetization, μB per formula unit: 5.942

[17]
# PBE-GGA YFeHPb2, relaxed
data_YFeHPb2
_cell_length_a 5.5037
_cell_length_b 5.5037
_cell_length_c 3.4079
_cell_angle_alpha 90.00
_cell_angle_beta 90.00
_cell_angle_gamma 90.00
_symmetry_space_group_name_H-M 'P 4/m m m'
_symmetry_Int_Tables_number 123
_symmetry_space_group_name_Hall '-P 4 2'
loop_
_atom_site_label
_atom_site_type_symbol
_atom_site_fract_x
_atom_site_fract_y
_atom_site_fract_z
_atom_site_occupancy
Y1 Y 0.0000 0.0000 0.0000 1
Fe1 Fe 0.5000 0.5000 0.0000 1
H1 H 0.5000 0.5000 0.5000 1
Pb1 Pb 0.0000 0.5000 0.5000 1
# E_tot, eV for the cell shown: -25.0
# Density of states at the Fermi level, states/eV/cell: 7.7
# Spin magnetization, μB per formula unit: 2.376

[18]
# PBE-GGA Zr2FeHPb, relaxed
data_Zr2FeHPb
_cell_length_a 4.5165
_cell_length_b 4.5165
_cell_length_c 4.0212
_cell_angle_alpha 90.00
_cell_angle_beta 90.00
_cell_angle_gamma 90.00
_symmetry_space_group_name_H-M 'P 4/m m m'
_symmetry_Int_Tables_number 123
_symmetry_space_group_name_Hall '-P 4 2'
loop_
_atom_site_label
_atom_site_type_symbol
_atom_site_fract_x
_atom_site_fract_y
_atom_site_fract_z
_atom_site_occupancy
Zr1 Zr 0.0000 0.5000 0.0000 1
Fe1 Fe 0.0000 0.0000 0.5000 1
H1 H 0.0000 0.0000 0.0000 1
Pb1 Pb 0.5000 0.5000 0.5000 1
# E_tot, eV for the cell shown: -33.3
# Density of states at the Fermi level, states/eV/cell: 3.2
# Spin magnetization, μB per formula unit: 2.206

[19]
# PBE-GGA FeH3Pd, relaxed
data_FeH3Pd
_cell_length_a 3.4448
_cell_length_b 3.4448
_cell_length_c 3.4448
_cell_angle_alpha 90.00
_cell_angle_beta 90.00
_cell_angle_gamma 90.00
_symmetry_space_group_name_H-M 'P m -3 m'
_symmetry_Int_Tables_number 221
_symmetry_space_group_name_Hall '-P 4 2 3'
loop_
_atom_site_label
_atom_site_type_symbol
_atom_site_fract_x
_atom_site_fract_y
_atom_site_fract_z
_atom_site_occupancy
Fe1 Fe 0.0000 0.0000 0.0000 1
H1 H 0.0000 0.5000 0.5000 1
Pd1 Pd 0.5000 0.5000 0.5000 1
# E_tot, eV for the cell shown: -22.2
# Density of states at the Fermi level, states/eV/cell: 2.8
# Spin magnetization, μB per formula unit: 2.901
# E above lowest polymorph, eV per atom: 0.151

[20]
# PBE-GGA FeH2Pd8, relaxed
data_FeH2Pd8
_cell_length_a 9.7633
_cell_length_b 8.4116
_cell_length_c 3.7316
_cell_angle_alpha 90.00
_cell_angle_beta 97.02
_cell_angle_gamma 90.00
_symmetry_space_group_name_H-M 'C 1 2/m 1'
_symmetry_Int_Tables_number 12
loop_
_symmetry_equiv_pos_as_xyz
'x,y,z'
'-x,-y,-z'
'-x,y,-z'
'x,-y,z'
'x+1/2,y+1/2,z'
'-x+1/2,-y+1/2,-z'
'-x+1/2,y+1/2,-z'
'x+1/2,-y+1/2,z'
loop_
_atom_site_label
_atom_site_type_symbol
_atom_site_fract_x
_atom_site_fract_y
_atom_site_fract_z
_atom_site_occupancy
Fe1 Fe 0.0000 0.0000 0.0000 1
H1 H 0.2170 0.0000 0.1697 1
Pd1 Pd 0.1002 0.5000 0.7743 1
Pd2 Pd 0.1130 0.2547 0.2661 1
Pd3 Pd 0.1921 0.0000 0.6667 1
# E_tot, eV for the cell shown: -110.1
# Density of states at the Fermi level, states/eV/cell: 13.7
# Spin magnetization, μB per formula unit: 4.841